1.
LaNdGa3 | OQMD via LeMat-Bulk | GGA-PBE | relaxed; calculated total energy = -0.325 Ry per atom; space-group type = Cmcm; crystal system = orthorhombic
1.0
2.2222 -13.1654 0.0000
2.2222 13.1654 0.0000
0.0000 0.0000 4.2687
La Nd Ga
2 2 6
direct
0.0729 0.9271 0.7500 La
0.9271 0.0729 0.2500 La
0.2030 0.7970 0.2500 Nd
0.7970 0.2030 0.7500 Nd
0.3264 0.6736 0.2500 Ga
0.3810 0.6190 0.7500 Ga
0.4762 0.5238 0.7500 Ga
0.5238 0.4762 0.2500 Ga
0.6190 0.3810 0.2500 Ga
0.6736 0.3264 0.7500 Ga

2.
LaNdGa | OQMD via LeMat-Bulk | GGA-PBE | relaxed; calculated total energy = -0.331 Ry per atom; energy above the most stable polymorph in this dataset = 0 kJ/mol of formula units; space-group type = F-43m; crystal system = cubic
1.0
0.0000 3.6380 3.6380
3.6380 0.0000 3.6380
3.6380 3.6380 0.0000
La Nd Ga
1 1 1
direct
0.0000 0.0000 0.0000 La
0.5000 0.5000 0.5000 Nd
0.2500 0.2500 0.2500 Ga